Below is a geometry-optimized SnAsPdS2 structure, with properties calculated at the PBE level.

Properties
symmetry: P4/mmm (123)
raw formation energy: 0.3087 eV per atom

Cell and atoms, written as CIF:
```
data_SnAsPdS2
_cell_length_a 4.7603
_cell_length_b 4.9141
_cell_length_c 4.7603
_cell_angle_alpha 90.00
_cell_angle_beta 90.00
_cell_angle_gamma 90.00
_space_group_name_H-M_alt 'P 1'
_space_group_IT_number 1
_space_group_name_Hall 'P 1'
loop_
_atom_site_label
_atom_site_type_symbol
_atom_site_fract_x
_atom_site_fract_y
_atom_site_fract_z
_atom_site_occupancy
S1 S 0.0000 0.0000 0.5000 1
S2 S 0.5000 0.0000 0.0000 1
As1 As 0.0000 0.5000 0.0000 1
Sn1 Sn 0.5000 0.5000 0.5000 1
Pd1 Pd 0.0000 0.0000 0.0000 1
```